The following is a DFT calculation (PBE) of an optimized crystal structure of CsRbSiPd2.

## Properties
Formation energy without anion corrections   0.146 eV/atom
Crystal system   tetragonal

abc: 4.8532 4.8532 6.1796
angles: 90.00 90.00 90.00
Closest atoms and distances in Å follow each position.
Space group P4/mmm (No. 123)
One atom of each set of equivalent atoms:
Cs 0.0000 0.0000 0.0000 x1  2 Si 3.09, 4 Rb 3.43
Rb 0.5000 0.5000 0.0000 x1  4 Cs 3.43
Si 0.0000 0.0000 0.5000 x1  4 Pd 2.43
Pd 0.0000 0.5000 0.5000 x2  2 Si 2.43


The following is a DFT calculation (PBE) of an optimized crystal structure of Cs2RbSnPd.

## Properties
E_form   -0.223 eV per formula unit
Crystal system   tetragonal

abc: 6.9051 6.9051 5.2871
angles: 90.00 90.00 90.00
Closest atoms and distances in Å follow each position.
Space group P4/mmm (No. 123)
One atom of each set of equivalent atoms:
Cs 0.0000 0.5000 0.0000 x2  2 Pd 3.45
Rb 0.0000 0.0000 0.5000 x1  8 Cs 4.35
Sn 0.5000 0.5000 0.5000 x1  2 Pd 2.64
Pd 0.5000 0.5000 0.0000 x1  2 Sn 2.64


The following is a DFT calculation (PBE) of an optimized crystal structure of CsRbSr2Pd.

## Properties
E_form   -0.425 eV per formula unit
Distance to the lowest polymorph of the same formula   0.000 eV per atom
Crystal system   tetragonal

abc: 6.1341 6.1341 7.3461
angles: 90.00 90.00 90.00
Closest atoms and distances in Å follow each position.
Space group P4/mmm (No. 123)
One atom of each set of equivalent atoms:
Cs 0.0000 0.0000 0.0000 x1  2 Pd 3.67
Rb 0.5000 0.5000 0.0000 x1  4 Cs 4.34, 8 Sr 4.79
Sr 0.0000 0.5000 0.5000 x2  2 Pd 3.07
Pd 0.0000 0.0000 0.5000 x1  4 Sr 3.07


The following is a DFT calculation (PBE) of an optimized crystal structure of CsRb2SrPd.

## Properties
E_form   0.124 eV per formula unit
Crystal system   tetragonal

abc: 7.1291 7.1291 5.9717
angles: 90.00 90.00 90.00
Closest atoms and distances in Å follow each position.
Space group P4/mmm (No. 123)
One atom of each set of equivalent atoms:
Cs 0.0000 0.0000 0.0000 x1  8 Rb 4.65, 4 Sr 5.04
Rb 0.0000 0.5000 0.5000 x2  2 Pd 3.56
Sr 0.5000 0.5000 0.0000 x1  2 Pd 2.99
Pd 0.5000 0.5000 0.5000 x1  2 Sr 2.99


The following is a DFT calculation (PBE) of an optimized crystal structure of CsRbSr2Pd.

## Properties
E_form   -0.410 eV per formula unit
Distance to the lowest polymorph of the same formula   0.003 eV per atom
Crystal system   tetragonal

abc: 6.1162 6.1162 7.3091
angles: 90.00 90.00 90.00
Closest atoms and distances in Å follow each position.
Space group P4/mmm (No. 123)
One atom of each set of equivalent atoms:
Cs 0.0000 0.0000 0.0000 x1  4 Rb 4.32, 8 Sr 4.77
Rb 0.5000 0.5000 0.0000 x1  2 Pd 3.65
Sr 0.0000 0.5000 0.5000 x2  2 Pd 3.06
Pd 0.5000 0.5000 0.5000 x1  4 Sr 3.06


The following is a DFT calculation (PBE) of an optimized crystal structure of CsRbTe2Pd.

## Properties
Formation energy without anion corrections   -0.738 eV/atom
Crystal system   orthorhombic

abc: 6.4124 8.5682 7.3678
angles: 90.00 90.00 90.00
Closest atoms and distances in Å follow each position.
Space group Pmma (No. 51)
One atom of each set of equivalent atoms:
Cs 0.2500 0.0000 0.2240 x2  6 Te 3.78-4.07
Rb 0.2500 0.5000 0.3872 x2  2 Pd 3.27, 2 Rb 3.61
Te 0.2500 0.2890 0.8358 x4  2 Pd 2.70
Pd 0.0000 0.5000 0.0000 x2  4 Te 2.70


The following is a DFT calculation (PBE) of an optimized crystal structure of Cs2RbTlPd.

## Properties
E_form   0.033 eV per formula unit
Distance to the lowest polymorph of the same formula   0.000 eV per atom
Crystal system   tetragonal

abc: 6.9595 6.9595 5.5148
angles: 90.00 90.00 90.00
Closest atoms and distances in Å follow each position.
Space group P4/mmm (No. 123)
One atom of each set of equivalent atoms:
Cs 0.0000 0.5000 0.0000 x2  2 Pd 3.48
Rb 0.0000 0.0000 0.5000 x1  8 Cs 4.44, 4 Tl 4.92
Tl 0.5000 0.5000 0.5000 x1  2 Pd 2.76
Pd 0.5000 0.5000 0.0000 x1  2 Tl 2.76


The following is a DFT calculation (PBE) of an optimized crystal structure of CsRbTlPd.

## Properties
E_form   -0.400 eV per formula unit
Crystal system   monoclinic

abc: 8.3845 4.8194 10.1485
angles: 90.00 106.00 90.00
Closest atoms and distances in Å follow each position.
Space group Cm (No. 8)
One atom of each set of equivalent atoms:
Cs 0.0000 0.0000 0.0000 x2  3 Pd 3.82-3.84, 3 Tl 3.85
Rb 0.3249 0.5000 0.4760 x2  3 Tl 3.72, 3 Pd 3.74-3.75
Tl 0.2423 0.0000 0.7281 x2  3 Pd 2.79
Pd 0.0761 0.5000 0.7316 x2  3 Tl 2.79


The following is a DFT calculation (PBE) of an optimized crystal structure of CsRb2TlPd.

## Properties
E_form   0.002 eV per formula unit
Crystal system   tetragonal

abc: 6.7139 6.7139 5.5076
angles: 90.00 90.00 90.00
Closest atoms and distances in Å follow each position.
Space group P4/mmm (No. 123)
One atom of each set of equivalent atoms:
Cs 0.0000 0.0000 0.0000 x1  8 Rb 4.34, 4 Tl 4.75
Rb 0.0000 0.5000 0.5000 x2  2 Pd 3.36
Tl 0.5000 0.5000 0.0000 x1  2 Pd 2.75
Pd 0.5000 0.5000 0.5000 x1  2 Tl 2.75


The following is a DFT calculation (PBE) of an optimized crystal structure of CsRbTl3Pd.

## Properties
E_form   -0.440 eV per formula unit
Crystal system   monoclinic

abc: 8.0324 18.6160 6.8366
angles: 90.00 116.22 90.00
Closest atoms and distances in Å follow each position.
Space group C2/c (No. 15)
One atom of each set of equivalent atoms:
Cs 0.0000 0.2448 0.2500 x4  6 Tl 3.76-4.10, 2 Cs 3.96
Rb 0.0000 0.3903 0.7500 x4  8 Tl 3.72-4.07
Tl 0.0000 0.1606 0.7500 x4  1 Pd 2.83
Tl 0.2457 0.4341 0.3947 x8  2 Pd 2.76-2.84
Pd 0.0000 0.0086 0.7500 x4  5 Tl 2.76-2.84


The following is a DFT calculation (PBE) of an optimized crystal structure of Cs2RbZnPd.

## Properties
E_form   0.335 eV per formula unit
Crystal system   tetragonal

abc: 7.0947 7.0947 5.0820
angles: 90.00 90.00 90.00
Closest atoms and distances in Å follow each position.
Space group P4/mmm (No. 123)
One atom of each set of equivalent atoms:
Cs 0.0000 0.5000 0.0000 x2  2 Pd 3.55
Rb 0.0000 0.0000 0.5000 x1  8 Cs 4.36
Zn 0.5000 0.5000 0.5000 x1  2 Pd 2.54
Pd 0.5000 0.5000 0.0000 x1  2 Zn 2.54


The following is a DFT calculation (PBE) of an optimized crystal structure of CsRePd3.

## Properties
E_form   4.452 eV per formula unit
Distance to the lowest polymorph of the same formula   0.000 eV per atom
Crystal system   cubic

abc: 5.0093 5.0093 5.0093
angles: 90.00 90.00 90.00
Closest atoms and distances in Å follow each position.
Space group Pm-3m (No. 221)
One atom of each set of equivalent atoms:
Cs 0.0000 0.0000 0.0000 x1  12 Pd 3.54
Re 0.5000 0.5000 0.5000 x1  6 Pd 2.50
Pd 0.0000 0.5000 0.5000 x3  2 Re 2.50


The following is a DFT calculation (PBE) of an optimized crystal structure of Cs3RePd.

## Properties
E_form   6.740 eV per formula unit
Crystal system   cubic

abc: 6.5582 6.5582 6.5582
angles: 90.00 90.00 90.00
Closest atoms and distances in Å follow each position.
Space group Pm-3m (No. 221)
One atom of each set of equivalent atoms:
Cs 0.0000 0.0000 0.5000 x3  2 Pd 3.28
Re 0.5000 0.5000 0.5000 x1  12 Cs 4.64
Pd 0.0000 0.0000 0.0000 x1  6 Cs 3.28


The following is a DFT calculation (PBE) of an optimized crystal structure of CsRePd.

## Properties
E_form   2.350 eV per formula unit
Distance to the lowest polymorph of the same formula   0.000 eV per atom
Crystal system   orthorhombic

abc: 9.3686 3.5172 11.3721
angles: 90.00 90.00 90.00
Closest atoms and distances in Å follow each position.
Space group Pnma (No. 62)
One atom of each set of equivalent atoms:
Cs 0.0666 0.2500 0.1738 x4  2 Cs 3.52, 5 Pd 3.53-3.77
Re 0.0750 0.2500 0.5289 x4  2 Re 2.35
Pd 0.2255 0.7500 0.4086 x4  3 Re 2.64-2.90


The following is a DFT calculation (PBE) of an optimized crystal structure of CsRe3Pd.

## Properties
E_form   20.443 eV per formula unit
Crystal system   cubic

abc: 4.8329 4.8329 4.8329
angles: 90.00 90.00 90.00
Closest atoms and distances in Å follow each position.
Space group Pm-3m (No. 221)
One atom of each set of equivalent atoms:
Cs 0.0000 0.0000 0.0000 x1  6 Re 2.42
Re 0.0000 0.0000 0.5000 x3  2 Cs 2.42
Pd 0.5000 0.5000 0.5000 x1  12 Re 3.42


The following is a DFT calculation (PBE) of an optimized crystal structure of CsRePd3.

## Properties
E_form   11.730 eV per formula unit
Distance to the lowest polymorph of the same formula   1.456 eV per atom
Crystal system   cubic

abc: 5.1999 5.1999 5.1999
angles: 90.00 90.00 90.00
Closest atoms and distances in Å follow each position.
Space group Pm-3m (No. 221)
One atom of each set of equivalent atoms:
Cs 0.0000 0.0000 0.0000 x1  6 Pd 2.60
Re 0.5000 0.5000 0.5000 x1  12 Pd 3.68
Pd 0.0000 0.0000 0.5000 x3  2 Cs 2.60


The following is a DFT calculation (PBE) of an optimized crystal structure of CsRePd.

## Properties
E_form   4.235 eV per formula unit
Distance to the lowest polymorph of the same formula   0.628 eV per atom
Crystal system   orthorhombic

abc: 4.7789 5.5101 10.7176
angles: 90.00 90.00 90.00
Closest atoms and distances in Å follow each position.
Space group Imma (No. 74)
One atom of each set of equivalent atoms:
Cs 0.0000 0.2500 0.1303 x4  2 Pd 2.84, 2 Re 3.10
Re 0.0000 0.2500 0.5543 x4  3 Pd 2.69-2.82, 2 Re 2.99
Pd 0.0000 0.2500 0.8052 x4  2 Pd 2.67, 3 Re 2.69-2.82, 2 Cs 2.84


The following is a DFT calculation (PBE) of an optimized crystal structure of Cs2RePd2.

## Properties
E_form   6.420 eV per formula unit
Crystal system   tetragonal

abc: 3.7003 3.7003 22.8697
angles: 90.00 90.00 90.00
Closest atoms and distances in Å follow each position.
Space group I4/mmm (No. 139)
One atom of each set of equivalent atoms:
Cs 0.0000 0.0000 0.1185 x4  4 Pd 3.53, 4 Cs 3.70, 4 Re 3.77
Re 0.0000 0.0000 0.5000 x2  4 Re 3.70, 8 Cs 3.77
Pd 0.0000 0.5000 0.2500 x4  4 Pd 2.62


The following is a DFT calculation (PBE) of an optimized crystal structure of CsPd3Rh.

## Properties
E_form   9.412 eV per formula unit
Distance to the lowest polymorph of the same formula   1.202 eV per atom
Crystal system   cubic

abc: 5.1420 5.1420 5.1420
angles: 90.00 90.00 90.00
Closest atoms and distances in Å follow each position.
Space group Pm-3m (No. 221)
One atom of each set of equivalent atoms:
Cs 0.0000 0.0000 0.0000 x1  6 Pd 2.57
Pd 0.0000 0.0000 0.5000 x3  2 Cs 2.57
Rh 0.5000 0.5000 0.5000 x1  12 Pd 3.64


The following is a DFT calculation (PBE) of an optimized crystal structure of Cs2PdRh2.

## Properties
E_form   5.608 eV per formula unit
Crystal system   tetragonal

abc: 9.9335 9.9335 3.1854
angles: 90.00 90.00 90.00
Closest atoms and distances in Å follow each position.
Space group P4/mbm (No. 127)
One atom of each set of equivalent atoms:
Cs 0.2072 0.2928 0.0000 x4  2 Cs 3.19, 6 Rh 3.34-3.52, 2 Pd 3.56
Pd 0.0000 0.0000 0.0000 x2  2 Pd 3.19, 4 Cs 3.56
Rh 0.0840 0.5840 0.5000 x4  1 Rh 2.36